VASP calculation (PBE) on BaCa2YPd after structural relaxation.

a = 5.8319 Å, b = 5.8319 Å, c = 5.5469 Å
α = 90.00°, β = 90.00°, γ = 90.00°
Sites, in units of the cell vectors:
Pd1 0.0000 0.0000 0.0000
Ca1 0.0000 0.5000 0.0000
Ca2 0.5000 0.0000 0.0000
Ba1 0.5000 0.5000 0.5000
Y1 0.0000 0.0000 0.5000

Calculated values
ρ = 3.63 g cm⁻³
symmetry = No. 123
ΔH_f (0 K) = -0.27 eV/atom
uncorrected energy = -0.2785 Ry/atom


VASP calculation (PBE) on BaCa2YPd after structural relaxation.

a = 5.6917 Å, b = 6.0714 Å, c = 5.6917 Å
α = 90.00°, β = 90.00°, γ = 90.00°
Sites, in units of the cell vectors:
Ba1 0.0000 0.5000 0.0000
Ca1 0.5000 0.0000 0.0000
Ca2 0.0000 0.0000 0.5000
Pd1 0.0000 0.0000 0.0000
Y1 0.5000 0.5000 0.5000

Calculated values
ρ = 3.49 g cm⁻³
symmetry = No. 123
ΔH_f (0 K) = -0.04 eV/atom
uncorrected energy = -0.2617 Ry/atom


VASP calculation (PBE) on BaCaY2Pd after structural relaxation.

a = 5.5884 Å, b = 5.5884 Å, c = 6.2045 Å
α = 90.00°, β = 90.00°, γ = 90.00°
Sites, in units of the cell vectors:
Y1 0.5000 0.0000 0.0000
Y2 0.0000 0.5000 0.0000
Ba1 0.0000 0.0000 0.5000
Pd1 0.0000 0.0000 0.0000
Ca1 0.5000 0.5000 0.5000

Calculated values
ρ = 3.96 g cm⁻³
symmetry = No. 123
ΔH_f (0 K) = -0.11 eV/atom
uncorrected energy = -0.3321 Ry/atom


VASP calculation (PBE) on Ba2CaZnPd after structural relaxation.

a = 6.2085 Å, b = 6.2085 Å, c = 5.5485 Å
α = 90.00°, β = 90.00°, γ = 90.00°
Sites, in units of the cell vectors:
Pd1 0.0000 0.0000 0.0000
Ca1 0.0000 0.0000 0.5000
Ba1 0.5000 0.0000 0.0000
Ba2 0.0000 0.5000 0.0000
Zn1 0.5000 0.5000 0.5000

Calculated values
ρ = 3.78 g cm⁻³
symmetry = No. 123
ΔH_f (0 K) = -0.17 eV/atom
uncorrected energy = -0.1935 Ry/atom


VASP calculation (PBE) on BaCaZnPd after structural relaxation.

a = 5.4119 Å, b = 5.4119 Å, c = 5.4119 Å
α = 60.00°, β = 60.00°, γ = 60.00°
Sites, in units of the cell vectors:
Pd1 0.5000 0.5000 0.5000
Zn1 0.0000 0.0000 0.0000
Ca1 0.2500 0.2500 0.2500
Ba1 0.7500 0.7500 0.7500

Calculated values
ρ = 5.17 g cm⁻³
symmetry = No. 216
ΔH_f (0 K) = -0.30 eV/atom
uncorrected energy = -0.2133 Ry/atom


VASP calculation (PBE) on Ba2CaZnPd after structural relaxation.

a = 6.2367 Å, b = 6.2367 Å, c = 5.0782 Å
α = 90.00°, β = 90.00°, γ = 90.00°
Sites, in units of the cell vectors:
Ba1 0.0000 0.5000 0.0000
Ba2 0.5000 0.0000 0.0000
Ca1 0.5000 0.5000 0.5000
Pd1 0.0000 0.0000 0.0000
Zn1 0.0000 0.0000 0.5000

Calculated values
ρ = 4.09 g cm⁻³
symmetry = No. 123
ΔH_f (0 K) = -0.15 eV/atom
uncorrected energy = -0.1920 Ry/atom